# 1
{
  "formula": "Pm2SeNF",
  "functional": "PBE",
  "state": "optimized geometry",
  "cell": [[3.986, 0.000, 0.000], [1.993, 6.657, -0.075], [1.993, 1.024, 7.778]],
  "species": ["Pm", "Pm", "Pm", "Pm", "F", "F", "Se", "Se", "N", "N"],
  "fractional_positions": [[0.431, 0.808, 0.329], [0.569, 0.192, 0.671], [0.157, 0.765, 0.921], [0.843, 0.235, 0.079], [0.654, 0.621, 0.072], [0.346, 0.379, 0.928], [0.185, 0.266, 0.364], [0.815, 0.734, 0.636], [0.041, 0.102, 0.817], [0.959, 0.898, 0.183]],
  "dft_energy_ev_per_atom": -6.9779
}

***

# 2
{
  "formula": "Pr6N5F",
  "functional": "PBE",
  "state": "optimized geometry",
  "cell": [[6.287, -0.098, -1.190], [-3.397, 5.291, -1.190], [0.116, 0.208, 6.380]],
  "species": ["N", "N", "N", "N", "N", "Pr", "Pr", "Pr", "Pr", "Pr", "Pr", "F"],
  "fractional_positions": [[0.170, 0.830, 0.500], [0.666, 0.334, 0.000], [0.830, 0.170, 0.500], [0.334, 0.666, 0.000], [0.500, 0.500, 0.500], [0.915, 0.566, 0.745], [0.434, 0.085, 0.255], [0.737, 0.737, 0.263], [0.085, 0.434, 0.255], [0.263, 0.263, 0.737], [0.566, 0.915, 0.745], [0.000, 0.000, 0.000]],
  "dft_energy_ev_per_atom": -7.6007
}

***

# 3
{
  "formula": "Pr4N3F",
  "functional": "PBE",
  "state": "optimized geometry",
  "cell": [[3.665, -0.046, 0.062], [0.047, 6.141, 1.761], [-0.104, 0.325, 6.379]],
  "species": ["F", "N", "N", "N", "Pr", "Pr", "Pr", "Pr"],
  "fractional_positions": [[0.500, 0.500, 0.000], [0.000, 0.500, 0.500], [0.500, 0.000, 0.500], [0.000, 0.000, 0.000], [0.000, 0.233, 0.268], [0.500, 0.757, 0.257], [0.000, 0.768, 0.732], [0.500, 0.243, 0.743]],
  "dft_energy_ev_per_atom": -7.4155
}

***

# 4
{
  "formula": "Pr2NF",
  "functional": "PBE",
  "state": "optimized geometry",
  "cell": [[3.631, 0.000, 0.000], [1.816, 3.145, 0.000], [1.816, 1.048, 6.454]],
  "species": ["N", "Pr", "Pr", "F"],
  "fractional_positions": [[0.669, 0.669, 0.994], [0.070, 0.070, 0.790], [0.262, 0.262, 0.214], [0.499, 0.499, 0.503]],
  "dft_energy_ev_per_atom": -6.8580
}

***

# 5
{
  "formula": "PrNF5",
  "functional": "PBE",
  "state": "optimized geometry",
  "cell": [[5.819, -1.856, -1.174], [-1.821, 6.416, -2.879], [-1.828, 0.126, 7.029]],
  "species": ["Pr", "Pr", "F", "F", "F", "F", "F", "F", "F", "F", "F", "F", "N", "N"],
  "fractional_positions": [[0.250, 0.650, 0.350], [0.750, 0.350, 0.650], [0.290, 0.293, 0.297], [0.210, 0.703, 0.707], [0.706, 0.996, 0.494], [0.750, 0.077, 0.923], [0.294, 0.004, 0.506], [0.794, 0.506, 0.004], [0.206, 0.494, 0.996], [0.790, 0.297, 0.293], [0.250, 0.923, 0.077], [0.710, 0.707, 0.703], [0.500, 0.000, 0.000], [0.000, 0.000, 0.000]],
  "dft_energy_ev_per_atom": -5.1277
}

***

# 6
{
  "formula": "PrNF",
  "functional": "PBE",
  "state": "optimized geometry",
  "cell": [[-1.024, 3.141, 0.263], [-0.936, -0.039, -3.179], [-5.909, -3.968, 3.515]],
  "species": ["Pr", "Pr", "F", "F", "N", "N"],
  "fractional_positions": [[0.876, 0.876, 0.752], [0.124, 0.124, 0.248], [0.711, 0.711, 0.423], [0.289, 0.289, 0.577], [0.547, 0.547, 0.094], [0.453, 0.453, 0.906]],
  "dft_energy_ev_per_atom": -6.9318
}

***

# 7
{
  "formula": "PrNF3",
  "functional": "PBE",
  "state": "optimized geometry",
  "cell": [[-5.081, -3.049, 4.557], [-5.166, -0.315, -5.970], [4.134, -6.756, 0.089]],
  "species": ["F", "F", "F", "F", "F", "F", "F", "F", "F", "F", "F", "F", "Pr", "Pr", "Pr", "Pr", "N", "N", "N", "N"],
  "fractional_positions": [[0.532, 0.104, 0.896], [0.750, 0.714, 0.785], [0.250, 0.786, 0.715], [0.468, 0.395, 0.604], [0.032, 0.396, 0.604], [0.468, 0.896, 0.104], [0.968, 0.105, 0.896], [0.968, 0.604, 0.396], [0.532, 0.605, 0.396], [0.032, 0.895, 0.104], [0.250, 0.286, 0.215], [0.750, 0.214, 0.285], [0.750, 0.475, 0.525], [0.250, 0.525, 0.475], [0.750, 0.975, 0.025], [0.250, 0.025, 0.975], [0.250, 0.521, 0.978], [0.250, 0.021, 0.478], [0.750, 0.479, 0.022], [0.750, 0.979, 0.522]],
  "dft_energy_ev_per_atom": -5.8286
}

***

# 8
{
  "formula": "PrNF",
  "functional": "PBE",
  "state": "optimized geometry",
  "cell": [[-0.079, 2.080, 3.396], [-3.981, 0.063, -0.131], [-0.189, -5.254, 3.214]],
  "species": ["Pr", "Pr", "F", "F", "N", "N"],
  "fractional_positions": [[0.500, 0.000, 0.770], [0.000, 0.500, 0.230], [0.000, 0.000, 0.500], [0.500, 0.500, 0.500], [0.500, 0.500, 0.000], [0.000, 0.000, 0.000]],
  "dft_energy_ev_per_atom": -7.0109
}

***

# 9
{
  "formula": "PrPuN2F",
  "functional": "PBE",
  "state": "optimized geometry",
  "cell": [[-1.228, 2.716, -1.983], [-2.620, 0.551, 2.377], [6.696, 7.196, 5.711]],
  "species": ["N", "N", "N", "N", "Pr", "Pr", "F", "F", "Pu", "Pu"],
  "fractional_positions": [[0.500, 0.000, 0.284], [0.000, 0.500, 0.097], [0.000, 0.500, 0.716], [0.500, 0.000, 0.903], [0.500, 0.000, 0.652], [0.000, 0.500, 0.348], [0.000, 0.000, 0.500], [0.500, 0.500, 0.500], [0.000, 0.500, 0.895], [0.500, 0.000, 0.105]],
  "dft_energy_ev_per_atom": -9.5060
}

***

# 10
{
  "formula": "Pr2TeNF",
  "functional": "PBE",
  "state": "optimized geometry",
  "cell": [[-2.467, 2.315, -2.329], [0.039, -2.892, -2.917], [-4.089, -2.577, 5.393]],
  "species": ["N", "Pr", "Pr", "Te", "F"],
  "fractional_positions": [[0.750, 0.250, 0.500], [0.655, 0.655, 0.310], [0.345, 0.345, 0.690], [0.000, 0.000, 0.000], [0.250, 0.750, 0.500]],
  "dft_energy_ev_per_atom": -6.7039
}

***

# 11
{
  "formula": "PrUN2F",
  "functional": "PBE",
  "state": "optimized geometry",
  "cell": [[3.553, 0.000, 0.000], [0.000, 3.553, 0.000], [0.000, 0.000, 11.419]],
  "species": ["U", "U", "N", "N", "N", "N", "Pr", "Pr", "F", "F"],
  "fractional_positions": [[0.000, 0.500, 0.895], [0.500, 0.000, 0.105], [0.000, 0.500, 0.718], [0.500, 0.000, 0.895], [0.500, 0.000, 0.282], [0.000, 0.500, 0.105], [0.000, 0.500, 0.348], [0.500, 0.000, 0.652], [0.500, 0.500, 0.500], [0.000, 0.000, 0.500]],
  "dft_energy_ev_per_atom": -8.9920
}

***

# 12
{
  "formula": "Pt2N2F",
  "functional": "PBE",
  "state": "optimized geometry",
  "cell": [[5.619, 0.000, 0.000], [0.000, 5.619, 0.000], [0.000, 0.000, 3.954]],
  "species": ["N", "N", "N", "N", "Pt", "Pt", "Pt", "Pt", "F", "F"],
  "fractional_positions": [[0.924, 0.576, 0.000], [0.424, 0.924, 0.000], [0.076, 0.424, 0.000], [0.576, 0.076, 0.000], [0.840, 0.660, 0.500], [0.160, 0.340, 0.500], [0.660, 0.160, 0.500], [0.340, 0.840, 0.500], [0.000, 0.000, 0.000], [0.500, 0.500, 0.000]],
  "de_polymorph_kj_per_mol_fu": 0,
  "dft_energy_ev_per_atom": -5.7572
}

***

# 13
{
  "formula": "PtN2F6",
  "functional": "PBE",
  "state": "optimized geometry",
  "cell": [[-2.078, -4.935, 2.451], [-3.425, 0.303, 4.780], [-5.730, -1.298, -0.397]],
  "species": ["F", "F", "F", "F", "F", "F", "Pt", "N", "N"],
  "fractional_positions": [[0.771, 0.229, 0.771], [0.229, 0.771, 0.229], [0.771, 0.229, 0.229], [0.771, 0.771, 0.229], [0.229, 0.771, 0.771], [0.229, 0.229, 0.771], [0.000, 0.000, 0.000], [0.750, 0.750, 0.750], [0.250, 0.250, 0.250]],
  "dft_energy_ev_per_atom": -3.5084
}

***

# 14
{
  "formula": "PtNF3",
  "functional": "PBE",
  "state": "optimized geometry",
  "cell": [[-4.060, -0.481, 0.656], [0.084, -3.570, -2.097], [0.809, -2.043, 3.510]],
  "species": ["F", "F", "F", "N", "Pt"],
  "fractional_positions": [[0.500, 0.000, 0.000], [0.000, 0.000, 0.500], [0.000, 0.500, 0.000], [0.500, 0.500, 0.500], [0.000, 0.000, 0.000]],
  "de_polymorph_kj_per_mol_fu": 0,
  "dft_energy_ev_per_atom": -3.2681
}

***

# 15
{
  "formula": "Pt2N2F",
  "functional": "PBE",
  "state": "optimized geometry",
  "cell": [[3.905, 0.000, 0.000], [0.000, 3.905, 0.000], [1.953, 1.953, 4.208]],
  "species": ["Pt", "Pt", "N", "N", "F"],
  "fractional_positions": [[0.250, 0.750, 0.500], [0.750, 0.250, 0.500], [0.349, 0.349, 0.302], [0.651, 0.651, 0.698], [0.000, 0.000, 0.000]],
  "de_polymorph_kj_per_mol_fu": 258,
  "dft_energy_ev_per_atom": -5.2219
}

***

# 16
{
  "formula": "PtN3F",
  "functional": "PBE",
  "state": "optimized geometry",
  "cell": [[-0.774, 3.102, 2.101], [0.195, -2.109, 3.186], [3.742, 0.751, 0.269]],
  "species": ["Pt", "N", "N", "N", "F"],
  "fractional_positions": [[0.000, 0.000, 0.000], [0.000, 0.000, 0.500], [0.000, 0.500, 0.000], [0.500, 0.000, 0.000], [0.500, 0.500, 0.500]],
  "dft_energy_ev_per_atom": -4.5328
}

***

# 17
{
  "formula": "Pt3NF",
  "functional": "PBE",
  "state": "optimized geometry",
  "cell": [[4.140, 0.000, 0.000], [0.000, 4.140, 0.000], [0.000, 0.000, 4.140]],
  "species": ["F", "Pt", "Pt", "Pt", "N"],
  "fractional_positions": [[0.500, 0.500, 0.500], [0.500, 0.000, 0.000], [0.000, 0.500, 0.000], [0.000, 0.000, 0.500], [0.000, 0.000, 0.000]],
  "de_polymorph_kj_per_mol_fu": 0,
  "dft_energy_ev_per_atom": -5.1261
}

***

# 18
{
  "formula": "PtN2F",
  "functional": "PBE",
  "state": "optimized geometry",
  "cell": [[-0.126, 4.309, 3.587], [1.757, 5.211, 1.098], [-1.477, 5.348, 0.821]],
  "species": ["N", "N", "Pt", "F"],
  "fractional_positions": [[0.887, 0.887, 0.887], [0.113, 0.113, 0.113], [0.500, 0.500, 0.500], [0.000, 0.000, 0.000]],
  "de_polymorph_kj_per_mol_fu": 0,
  "dft_energy_ev_per_atom": -5.3515
}

***

# 19
{
  "formula": "PtN2F",
  "functional": "PBE",
  "state": "optimized geometry",
  "cell": [[-3.348, -0.800, 4.003], [4.029, 0.190, 3.408], [-0.166, 3.697, 4.081]],
  "species": ["N", "N", "N", "N", "Pt", "Pt", "F", "F"],
  "fractional_positions": [[0.375, 0.302, 0.750], [0.875, 0.948, 0.750], [0.052, 0.625, 0.250], [0.698, 0.125, 0.250], [0.000, 0.000, 0.000], [0.750, 0.250, 0.500], [0.500, 0.500, 0.000], [0.250, 0.750, 0.500]],
  "de_polymorph_kj_per_mol_fu": 140,
  "dft_energy_ev_per_atom": -4.9876
}

***

# 20
{
  "formula": "PtN2F",
  "functional": "PBE",
  "state": "optimized geometry",
  "cell": [[1.772, 0.000, 6.367], [-0.886, 1.534, 6.367], [-0.886, -1.534, 6.367]],
  "species": ["Pt", "F", "N", "N"],
  "fractional_positions": [[0.000, 0.000, 0.000], [0.500, 0.500, 0.500], [0.095, 0.095, 0.095], [0.905, 0.905, 0.905]],
  "de_polymorph_kj_per_mol_fu": 391,
  "dft_energy_ev_per_atom": -4.3375
}

***

# 21
{
  "formula": "PtN2F",
  "functional": "PBE",
  "state": "optimized geometry",
  "cell": [[0.000, 2.620, 2.620], [2.620, 0.000, 2.620], [2.620, 2.620, 0.000]],
  "species": ["N", "N", "F", "Pt"],
  "fractional_positions": [[0.750, 0.750, 0.750], [0.250, 0.250, 0.250], [0.000, 0.000, 0.000], [0.500, 0.500, 0.500]],
  "de_polymorph_kj_per_mol_fu": 293,
  "dft_energy_ev_per_atom": -4.5931
}

***

# 22
{
  "formula": "PtNF3",
  "functional": "PBE",
  "state": "optimized geometry",
  "cell": [[3.878, 0.000, 0.000], [0.000, 3.878, 0.000], [0.000, 0.000, 3.878]],
  "species": ["F", "F", "F", "Pt", "N"],
  "fractional_positions": [[0.500, 0.000, 0.000], [0.000, 0.000, 0.500], [0.000, 0.500, 0.000], [0.500, 0.500, 0.500], [0.000, 0.000, 0.000]],
  "de_polymorph_kj_per_mol_fu": 117,
  "dft_energy_ev_per_atom": -3.0264
}

***

# 23
{
  "formula": "Rb2PtNF6",
  "functional": "PBE",
  "state": "optimized geometry",
  "cell": [[6.449, 0.000, 0.000], [0.000, 6.449, 0.000], [3.224, 3.224, 4.570]],
  "species": ["Pt", "N", "Rb", "Rb", "F", "F", "F", "F", "F", "F"],
  "fractional_positions": [[0.000, 0.000, 0.000], [0.500, 0.500, 0.000], [0.750, 0.250, 0.500], [0.250, 0.750, 0.500], [0.216, 0.216, 0.568], [0.783, 0.783, 0.000], [0.783, 0.217, 0.000], [0.784, 0.784, 0.432], [0.217, 0.217, 0.000], [0.217, 0.783, 0.000]],
  "dft_energy_ev_per_atom": -4.1548
}

***

# 24
{
  "formula": "RbPtN2F",
  "functional": "PBE",
  "state": "optimized geometry",
  "cell": [[3.777, 0.000, 0.000], [0.000, 3.777, 0.000], [0.000, 0.000, 6.853]],
  "species": ["Rb", "Pt", "F", "N", "N"],
  "fractional_positions": [[0.500, 0.500, 0.500], [0.000, 0.000, 0.000], [0.000, 0.000, 0.500], [0.500, 0.000, 0.000], [0.000, 0.500, 0.000]],
  "de_polymorph_kj_per_mol_fu": 0,
  "dft_energy_ev_per_atom": -5.1165
}

***

# 25
{
  "formula": "RbPtN2F",
  "functional": "PBE",
  "state": "optimized geometry",
  "cell": [[-1.304, 4.060, -3.475], [-5.022, -2.153, -0.632], [-1.647, 2.727, 3.805]],
  "species": ["F", "N", "N", "Pt", "Rb"],
  "fractional_positions": [[0.000, 0.000, 0.500], [0.000, 0.500, 0.000], [0.500, 0.000, 0.000], [0.500, 0.500, 0.500], [0.000, 0.000, 0.000]],
  "de_polymorph_kj_per_mol_fu": 1066,
  "dft_energy_ev_per_atom": -2.9058
}

***

Asked for energy relative to the elements, uncorrected across the records above, the calculation gives -2.341; -1.586; -1.670; -1.919; -1.919; -1.940; -2.085; -2.019; -1.979; -2.124; -2.074; 0.364; 0.260; 0.728; 0.899; 2.045; 0.538; 0.789; 1.153; 1.803; 1.548; 0.970; -1.402; -0.010; 2.200 eV per atom in order.